# 1
Compound: Al2CuAgS4
Source: Alexandria via LeMat-Bulk
Functional: PBE
Structure: optimized geometry

Structure (extended XYZ):
```
8
Lattice="0.0000 3.7800 5.6328 3.7791 0.0000 5.6328 3.7791 3.7800 0.0000" Properties=species:S:1:pos:R:3 pbc="T T T"
Al 1.8896 1.8900 0.0000
Al 1.8896 1.8900 5.6328
Cu 3.7791 3.7800 2.8131
Ag 3.7791 3.7800 8.4529
S 3.7791 2.0208 4.3350
S 5.7966 3.7800 6.9305
S 3.7791 5.5393 4.3350
S 1.7616 3.7800 6.9305
```

Formation energy without anion corrections: -0.750 eV/atom
Calculated density: 3.6 g/cm3


# 2
Compound: AlCu2AgSe4
Source: Alexandria via LeMat-Bulk
Functional: PBE
Structure: optimized geometry

Structure (extended XYZ):
```
8
Lattice="-2.8783 2.8783 5.5541 2.8783 -2.8783 5.5541 2.8783 2.8783 -5.5541" Properties=species:S:1:pos:R:3 pbc="T T T"
Al 0.0000 0.0000 0.0000
Cu 2.8783 0.0000 2.7771
Cu 0.0000 2.8783 2.7771
Ag 0.0000 0.0000 5.5541
Se 1.3567 1.3567 -1.4790
Se 1.5217 -1.5217 7.0331
Se 1.5217 1.5217 4.0752
Se -1.5217 1.5217 7.0331
```

Formation energy without anion corrections: -0.348 eV/atom
DOS at the Fermi energy: 5.5 states/eV/cell
Calculated density: 5.2 g/cm3


# 3
Compound: Al2CuAgSe4
Source: Alexandria via LeMat-Bulk
Functional: PBE
Structure: optimized geometry

Structure (extended XYZ):
```
8
Lattice="-2.8277 2.8277 5.9329 2.8277 -2.8277 5.9329 2.8277 2.8277 -5.9329" Properties=species:S:1:pos:R:3 pbc="T T T"
Al 2.8277 0.0000 2.9665
Al 0.0000 2.8277 2.9665
Cu 0.0000 0.0000 0.0000
Ag 0.0000 0.0000 5.9329
Se 1.3265 1.3265 -1.5629
Se 1.5012 -1.5012 7.4958
Se 1.5012 1.5012 4.3700
Se -1.5012 1.5012 7.4958
```

Formation energy without anion corrections: -0.594 eV/atom
Calculated density: 4.7 g/cm3


# 4
Compound: AlCu2AgSe
Source: Alexandria via LeMat-Bulk
Functional: PBE
Structure: optimized geometry

Structure (extended XYZ):
```
5
Lattice="4.5693 0.0000 0.0000 0.0000 4.5693 0.0000 0.0000 0.0000 4.9813" Properties=species:S:1:pos:R:3 pbc="T T T"
Al 0.0000 0.0000 0.0000
Cu 0.0000 2.2846 0.0000
Cu 2.2846 0.0000 0.0000
Ag 2.2846 2.2846 2.4907
Se 0.0000 0.0000 2.4907
```

Formation energy without anion corrections: 0.573 eV/atom
DOS at the Fermi energy: 2.0 states/eV/cell
Calculated density: 5.4 g/cm3


# 5
Compound: SmAlCuAg
Source: Alexandria via LeMat-Bulk
Functional: PBE
Structure: optimized geometry

Structure (extended XYZ):
```
4
Lattice="0.0000 3.3837 3.3837 3.3837 0.0000 3.3837 3.3837 3.3837 0.0000" Properties=species:S:1:pos:R:3 pbc="T T T"
Sm 0.0000 0.0000 0.0000
Al 3.3837 3.3837 3.3837
Cu 1.6918 1.6918 1.6918
Ag 5.0755 5.0755 5.0755
```

ΔE_f: -0.279 eV per atom
DOS at the Fermi energy: 2.4 states/eV/cell
Calculated density: 7.5 g/cm3


# 6
Compound: SmAl3CuAg
Source: Alexandria via LeMat-Bulk
Functional: PBE
Structure: optimized geometry

Structure (extended XYZ):
```
12
Lattice="3.0236 -6.3000 0.0000 3.0236 6.3000 0.0000 0.0000 0.0000 6.0494" Properties=species:S:1:pos:R:3 pbc="T T T"
Sm 3.0236 3.6657 4.5370
Sm 3.0236 -3.6657 1.5123
Al 1.3063 0.0000 0.0000
Al 1.3063 0.0000 3.0247
Al 3.0236 1.6803 1.5123
Al 3.0236 -1.6803 4.5370
Al 4.7408 0.0000 0.0000
Al 4.7408 0.0000 3.0247
Cu 3.0236 0.9307 4.5370
Cu 3.0236 -0.9307 1.5123
Ag 3.0236 4.3513 1.5123
Ag 3.0236 -4.3513 4.5370
```

ΔE_f: -0.174 eV per atom
DOS at the Fermi energy: 5.6 states/eV/cell
Calculated density: 5.8 g/cm3